Entry 1:
Here is a relaxed PmY12Al4N3 crystal from Alexandria via LeMat-Bulk. Energies are from PBE-GGA.

Cell: 8.531 8.531 8.531 Å, 109.47 109.47 109.47°
Atoms (fractional coordinates):
Pm1 0.000 0.000 0.000
Y1 0.000 0.274 0.274
Y2 0.000 0.726 0.726
Y3 0.250 0.500 0.750
Y4 0.250 0.750 0.500
Y5 0.274 0.000 0.274
Y6 0.274 0.274 0.000
Y7 0.500 0.250 0.750
Y8 0.500 0.750 0.250
Y9 0.726 0.000 0.726
Y10 0.726 0.726 0.000
Y11 0.750 0.250 0.500
Y12 0.750 0.500 0.250
Al1 0.000 0.000 0.500
Al2 0.000 0.500 0.000
Al3 0.500 0.000 0.000
Al4 0.500 0.500 0.500
N1 0.000 0.500 0.500
N2 0.500 0.000 0.500
N3 0.500 0.500 0.000

* uncorrected formation energy: -0.373 eV/atom
* calculated total energy: -6.49 eV/atom
* SG: Im-3m (229)

Entry 2:
Here is a relaxed PmY2AlN crystal from Alexandria via LeMat-Bulk. Energies are from PBE-GGA.

Cell: 4.793 4.793 4.946 Å, 90.00 90.00 90.00°
Atoms (fractional coordinates):
Pm1 0.000 0.000 0.000
Y1 0.000 0.500 0.500
Y2 0.500 0.000 0.500
Al1 0.500 0.500 0.000
N1 0.000 0.000 0.500

* uncorrected formation energy: -0.880 eV/atom
* calculated total energy: -6.83 eV/atom
* SG: P4/mmm (123)

Entry 3:
Here is a relaxed Pr4Al2N crystal from Alexandria via LeMat-Bulk. Energies are from PBE-GGA.

Cell: 8.649 8.649 8.649 Å, 146.47 146.47 48.15°
Atoms (fractional coordinates):
Pr1 0.000 0.500 0.500
Pr2 0.167 0.167 0.000
Pr3 0.500 0.000 0.500
Pr4 0.833 0.833 0.000
Al1 0.368 0.368 0.000
Al2 0.632 0.632 0.000
N1 0.000 0.000 0.000

* uncorrected formation energy: -0.475 eV/atom
* calculated total energy: -5.46 eV/atom
* SG: I4/mmm (139)